Entry 1:
Density functional theory data (PBEsol) for an optimized crystal structure of RbBaC2.

Values from the calculation:
Formation enthalpy at 0 K = 2220 meV per atom
Offset from the most stable computed form = 174 meV per atom
M_tot = 0.00 μB per cell
Uncorrected energy = -13.580 eV/f.u.

Structure (POSCAR):
```
RbBaC2
1.0
-2.569 2.569 8.389
2.569 -2.569 8.389
2.569 2.569 -8.389
Rb Ba C
2 2 4
direct
0.000 0.000 0.000
0.750 0.250 0.500
0.250 0.750 0.500
0.500 0.500 0.000
0.279 0.625 0.154
0.375 0.529 0.654
0.471 0.125 0.846
0.875 0.721 0.346
```

***

Entry 2:
Density functional theory data (PBEsol) for an optimized crystal structure of RbBaC2.

Values from the calculation:
Formation enthalpy at 0 K = 2046 meV per atom
Offset from the most stable computed form = 0 meV per atom
M_tot = 1.11 μB per cell
Uncorrected energy = -14.277 eV/f.u.

Structure (POSCAR):
```
RbBaC2
1.0
0.000 3.494 3.494
3.494 0.000 3.494
3.494 3.494 0.000
Rb Ba C
1 1 2
direct
0.000 0.000 0.000
0.500 0.500 0.500
0.250 0.250 0.250
0.750 0.750 0.750
```

***

Copy entry 1 word for word.
Density functional theory data (PBEsol) for an optimized crystal structure of RbBaC2.

Values from the calculation:
Formation enthalpy at 0 K = 2220 meV per atom
Offset from the most stable computed form = 174 meV per atom
M_tot = 0.00 μB per cell
Uncorrected energy = -13.580 eV/f.u.

Structure (POSCAR):
```
RbBaC2
1.0
-2.569 2.569 8.389
2.569 -2.569 8.389
2.569 2.569 -8.389
Rb Ba C
2 2 4
direct
0.000 0.000 0.000
0.750 0.250 0.500
0.250 0.750 0.500
0.500 0.500 0.000
0.279 0.625 0.154
0.375 0.529 0.654
0.471 0.125 0.846
0.875 0.721 0.346
```